No. 1
A PBEsol-optimized structure of Bi2IO. Source: Alexandria via LeMat-Bulk, functional meta-GGA SCAN.

Results
Its symmetry is Fm-3m (225).

```
4
Lattice="-0.5999 -1.4926 4.8675 3.9815 -1.9079 2.6052 2.1200 2.7181 3.7944" Properties=species:S:1:pos:R:3 pbc="T T T"
I 2.7508 -0.3412 5.6335
Bi 4.1262 -0.5118 8.4503
Bi 1.3754 -0.1706 2.8168
O 0.0000 0.0000 0.0000
```


No. 2
A PBEsol-optimized structure of BiI3O9. Source: Alexandria via LeMat-Bulk, functional meta-GGA SCAN.

Results
Its symmetry is P2_1/c (14).

```
52
Lattice="5.8229 0.0000 0.0000 0.0000 8.7788 -0.0450 0.0000 -1.8262 15.0040" Properties=species:S:1:pos:R:3 pbc="T T T"
I 0.5798 4.1266 10.5104
I 1.8357 0.8877 12.7299
I 2.3317 0.6503 3.0309
I 5.2431 2.8260 4.4486
I 3.7595 4.8462 7.8036
I 4.7471 0.7624 9.7536
I 4.9748 1.3699 0.3240
I 3.9872 6.0649 2.2291
I 2.0634 2.1065 7.1555
I 0.8481 5.5828 14.6350
I 1.0758 6.1903 5.2054
I 3.4912 6.3023 11.9281
O 0.4360 6.7227 6.8413
O 2.9362 2.0438 1.9645
O 2.3508 4.2973 6.6850
O 4.7106 3.8021 11.1487
O 5.1232 4.6257 2.5513
O 2.3512 8.0819 1.7388
O 1.1123 3.1506 3.8103
O 3.3850 6.6127 7.3053
O 2.5475 5.3227 3.1014
O 0.4735 5.6425 0.1292
O 3.4721 2.6553 8.2740
O 2.2118 7.6295 4.8832
O 2.8867 4.9088 12.9946
O 3.6111 -0.6769 10.0758
O 0.5607 -1.0052 14.2095
O 0.3639 0.0202 10.6259
O 0.6997 2.3270 12.4077
O 0.0247 1.4325 5.5150
O 3.3474 5.5325 0.5933
O 1.7992 6.6269 11.2898
O 4.0237 0.3257 3.6692
O 3.0675 1.8067 5.6318
O 2.4755 1.4201 14.3657
O 2.7554 5.1459 9.3273
O 5.3494 1.3102 14.8298
O 5.7981 5.5201 9.4440
O 3.4716 -1.1292 13.2202
O 2.4379 0.3399 7.6537
O 5.6668 5.2831 13.1113
O 3.2753 1.6299 11.8576
O 0.1561 1.6696 1.8478
O 0.5602 2.7793 9.2633
O 5.2622 7.9578 0.7495
O 5.2627 4.1733 5.6958
O 5.4590 6.9324 4.3331
O 5.3869 0.2300 8.1177
Bi 4.5048 3.1302 13.4747
Bi 1.3181 3.8225 1.4843
Bi 4.2296 -0.3462 5.9952
Bi 1.5933 7.2988 8.9638
```


Calculated values (eV per atom) of uncorrected formation energy for the records, taken in order: 0.59, -0.55.